Record 1
Density functional theory data (PBE) for crystalline RbCrBi2 at its relaxed geometry.

CIF file:
```
data_RbCrBi2
_chemical_formula_sum 'Rb4 Cr4 Bi8'
_symmetry_space_group_name_H-M 'F m -3 m'
_symmetry_Int_Tables_number 225
_symmetry_space_group_name_Hall '-F 4 2 3'
_cell_length_a 7.846
_cell_length_b 7.846
_cell_length_c 7.846
_cell_angle_alpha 90.00
_cell_angle_beta 90.00
_cell_angle_gamma 90.00
loop_
_atom_site_label
_atom_site_type_symbol
_atom_site_fract_x
_atom_site_fract_y
_atom_site_fract_z
_atom_site_occupancy
Rb1 Rb 0.000 0.000 0.000 1
Cr1 Cr 0.000 0.000 0.500 1
Bi1 Bi 0.250 0.250 0.250 1
```

Properties
For the formation energy, the calculation gives 0.4055 eV per atom. The polymorph energy (0 for the lowest one) is 0.65 eV per formula unit. Its crystal system is cubic. As for the spin magnetization: 4.03 μB per formula unit.


Record 2
Density functional theory data (PBE) for crystalline NdErCdPt at its relaxed geometry.

CIF file:
```
data_NdErCdPt
_chemical_formula_sum 'Nd4 Er4 Cd4 Pt4'
_symmetry_space_group_name_H-M 'F -4 3 m'
_symmetry_Int_Tables_number 216
_symmetry_space_group_name_Hall 'F -4 2 3'
_cell_length_a 7.295
_cell_length_b 7.295
_cell_length_c 7.295
_cell_angle_alpha 90.00
_cell_angle_beta 90.00
_cell_angle_gamma 90.00
loop_
_atom_site_label
_atom_site_type_symbol
_atom_site_fract_x
_atom_site_fract_y
_atom_site_fract_z
_atom_site_occupancy
Nd1 Nd 0.000 0.000 0.000 1
Er1 Er 0.000 0.000 0.500 1
Cd1 Cd 0.250 0.250 0.750 1
Pt1 Pt 0.250 0.250 0.250 1
```

Properties
For the formation energy, the calculation gives -0.6708 eV per atom. Its crystal system is cubic. As for the spin magnetization: 0.00 μB per formula unit.


Record 3
Density functional theory data (PBE) for crystalline LiTaTe2 at its relaxed geometry.

CIF file:
```
data_LiTaTe2
_chemical_formula_sum 'Li2 Ta2 Te4'
_symmetry_space_group_name_H-M 'I m m 2'
_symmetry_Int_Tables_number 44
_cell_length_a 3.642
_cell_length_b 3.709
_cell_length_c 13.879
_cell_angle_alpha 90.00
_cell_angle_beta 90.00
_cell_angle_gamma 90.00
loop_
_symmetry_equiv_pos_as_xyz
'x,y,z'
'-x,-y,z'
'-x,y,z'
'x,-y,z'
'x+1/2,y+1/2,z+1/2'
'-x+1/2,-y+1/2,z+1/2'
'-x+1/2,y+1/2,z+1/2'
'x+1/2,-y+1/2,z+1/2'
loop_
_atom_site_label
_atom_site_type_symbol
_atom_site_fract_x
_atom_site_fract_y
_atom_site_fract_z
_atom_site_occupancy
Li1 Li 0.000 0.000 0.000 1
Ta1 Ta 0.000 0.500 0.777 1
Te1 Te 0.000 0.000 0.426 1
Te2 Te 0.000 0.500 0.185 1
```

Properties
Its crystal system is orthorhombic. As for the spin magnetization: 0.00 μB per formula unit. The value obtained for the total energy is -5.329 eV per atom.